DFT (PBE-GGA) results for a relaxed InSnN2 crystal.

Geometry as extended XYZ:
```
4
Lattice="0.000 3.003 3.003 3.003 0.000 3.003 3.003 3.003 0.000" Properties=species:S:1:pos:R:3 pbc="T T T"
In 0.000 0.000 0.000
Sn 3.003 3.003 3.003
N 1.502 1.502 1.502
N 4.505 4.505 4.505
```

Properties
Uncorrected formation energy, eV per atom: 1.23
N(E_F), states/eV/f.u.: 1.94
E_tot, eV/atom: -4.6136
Theoretical density, g/cm³: 8.0